Cu2TcBiF: relaxed, PBE.

## Properties
**Magnetization**: 4.26 μB/f.u.
**Raw formation energy**: 0.764 eV/atom
**DFT total energy**: -4.098 eV/atom
**Density**: 6.76 Mg/m³

CIF file:
```
data_Cu2TcBiF
_symmetry_space_group_name_H-M 'P 4/m m m'
_symmetry_Int_Tables_number 123
_symmetry_space_group_name_Hall '-P 4 2'
_cell_length_a 5.018
_cell_length_b 5.018
_cell_length_c 4.419
_cell_angle_alpha 90.00
_cell_angle_beta 90.00
_cell_angle_gamma 90.00
loop_
_atom_site_label
_atom_site_type_symbol
_atom_site_fract_x
_atom_site_fract_y
_atom_site_fract_z
Cu1 Cu 0.000 0.500 0.000
Tc1 Tc 0.000 0.000 0.500
Bi1 Bi 0.500 0.500 0.000
F1 F 0.500 0.500 0.500
```